Computed, not measured: a crystal of Sc3BeSn relaxed with PBEsol at the meta-GGA SCAN level of DFT.

Values from the calculation:
* volume: 21.25 Å³/atom
* total energy: -16.789 eV/atom
* space group: No. 221

Cell and atoms, written as extended XYZ:
```
5
Lattice="4.736 0.000 0.000 0.000 4.736 0.000 0.000 0.000 4.736" Properties=species:S:1:pos:R:3 pbc="T T T"
Sc 0.000 0.000 2.368
Sc 0.000 2.368 0.000
Sc 2.368 0.000 0.000
Be 0.000 0.000 0.000
Sn 2.368 2.368 2.368
```



Computed, not measured: a crystal of ScBe2Sn2 relaxed with PBEsol at the meta-GGA SCAN level of DFT.

Values from the calculation:
* volume: 18.07 Å³/atom
* total energy: -18.890 eV/atom
* space group: No. 139

Cell and atoms, written as extended XYZ:
```
10
Lattice="3.952 0.000 0.000 0.000 3.952 0.000 0.000 0.000 11.571" Properties=species:S:1:pos:R:3 pbc="T T T"
Sc 0.000 0.000 0.000
Sc 1.976 1.976 5.785
Be 0.000 1.976 2.893
Be 0.000 1.976 8.678
Be 1.976 0.000 2.893
Be 1.976 0.000 8.678
Sn 0.000 0.000 4.377
Sn 0.000 0.000 7.194
Sn 1.976 1.976 1.409
Sn 1.976 1.976 10.162
```



Computed, not measured: a crystal of ScBeSn3 relaxed with PBEsol at the meta-GGA SCAN level of DFT.

Values from the calculation:
* volume: 22.94 Å³/atom
* total energy: -24.994 eV/atom
* space group: No. 221

Cell and atoms, written as extended XYZ:
```
5
Lattice="4.859 0.000 0.000 0.000 4.859 0.000 0.000 0.000 4.859" Properties=species:S:1:pos:R:3 pbc="T T T"
Sc 0.000 0.000 0.000
Be 2.429 2.429 2.429
Sn 0.000 2.429 2.429
Sn 2.429 0.000 2.429
Sn 2.429 2.429 0.000
```



Computed, not measured: a crystal of SrScBeZn2 relaxed with PBEsol at the meta-GGA SCAN level of DFT.

Values from the calculation:
* volume: 31.06 Å³/atom
* total energy: -12.358 eV/atom
* space group: No. 123

Cell and atoms, written as extended XYZ:
```
5
Lattice="5.062 0.000 0.000 0.000 5.062 0.000 0.000 0.000 6.062" Properties=species:S:1:pos:R:3 pbc="T T T"
Sr 0.000 0.000 0.000
Sc 0.000 0.000 3.031
Be 2.531 2.531 0.000
Zn 0.000 2.531 3.031
Zn 2.531 0.000 3.031
```